Material: TbSm2Y
Method: DFT, PBE
State: relaxed

Cell: 3.5972 3.5972 10.1737 Å, 90.00 90.00 90.00°
With the nearest neighbours (Å) after each atom.
Fractional coordinates of all 4 atoms:
1 Tb 0.5000 0.5000 0.0000  8 Sm 3.59, 4 Tb 3.60
2 Sm 0.0000 0.0000 0.7508  4 Tb 3.59, 4 Sm 3.60, 4 Y 3.60
3 Sm 0.0000 0.0000 0.2492  4 Tb 3.59, 4 Sm 3.60, 4 Y 3.60
4 Y 0.5000 0.5000 0.5000  4 Y 3.60, 8 Sm 3.60

Computed properties:
The value obtained for the formation enthalpy at 0 K is 0.017 eV/atom. The space group is No. 123. Its spin magnetization is 0.00 μB/f.u. The final energy comes out at -0.376 Ry per atom.